{"formula": "DyEr4Tm7", "functional": "PBE-GGA", "state": "optimized geometry", "sg": "P-1, No. 2", "polymorph_energy_kj_per_mol_atoms": 0.00, "crystal_system": "triclinic", "lattice": [[6.413, 0.000, 0.000], [1.018, 6.613, 0.000], [2.047, 0.444, 8.633]], "species": ["Dy", "Er", "Er", "Er", "Er", "Tm", "Tm", "Tm", "Tm", "Tm", "Tm", "Tm"], "frac_coords": [[0.000, 0.000, 0.000], [0.163, 0.618, 0.310], [0.362, 0.192, 0.713], [0.638, 0.808, 0.287], [0.837, 0.382, 0.690], [0.000, 0.500, 0.000], [0.188, 0.109, 0.388], [0.318, 0.702, 0.642], [0.483, 0.250, 0.050], [0.517, 0.750, 0.950], [0.682, 0.298, 0.358], [0.812, 0.891, 0.612]]}